First-principles (GGA-PBE) data for an optimized crystal structure of NpNiS2, as listed in the Alexandria database.

Results
As for the total DFT energy (no corrections): -7.634 eV/atom. As for the space group: No. 8. The raw formation energy is -890 meV/atom. As for the polymorph energy (0 for the lowest one): 0 meV/atom. The crystal system is monoclinic. As for the total moment: 3.144 μB/f.u. As for the density of states at the Fermi level: 8.96 states/eV/cell.

a b c (Å): 4.115 3.649 5.378
angles (deg): 70.17 88.45 90.00
Positions (direct):
Np 0.572 0.511 0.978
Ni 0.307 0.786 0.429
S 0.071 0.974 0.053
S 0.550 0.230 0.540